#a
CuTc2P2: optimized geometry, PBE.

a = 6.740 Å, b = 6.740 Å, c = 2.899 Å
α = 90.00°, β = 90.00°, γ = 90.00°
Space group P4/mbm (No. 127)
Inequivalent atoms, fractional coordinates:
Cu1 0.000 0.000 0.000
Tc1 0.149 0.351 0.500
P1 0.147 0.647 0.000

Computed properties:
mass density = 8106 kg/m³

---

#b
CuTc2P2: optimized geometry, PBE.

a = 6.788 Å, b = 6.788 Å, c = 2.957 Å
α = 90.00°, β = 90.00°, γ = 90.00°
Space group P4/mbm (No. 127)
Inequivalent atoms, fractional coordinates:
Cu1 0.000 0.000 0.000
Tc1 0.146 0.354 0.000
P1 0.149 0.649 0.500

Computed properties:
mass density = 7837 kg/m³

---

Ordering by calculated energy gives the sequence #a, #b, with the first entry being the most stable.

---

#a
CuTc3P: optimized geometry, PBE.

a = 4.343 Å, b = 4.343 Å, c = 4.343 Å
α = 90.00°, β = 90.00°, γ = 90.00°
Space group Pm-3m (No. 221)
Inequivalent atoms, fractional coordinates:
Cu1 0.000 0.000 0.000
Tc1 0.000 0.500 0.500
P1 0.500 0.500 0.500

Computed properties:
mass density = 7873 kg/m³

---

#b
CuTc3P: optimized geometry, PBE.

a = 4.457 Å, b = 4.457 Å, c = 4.457 Å
α = 90.00°, β = 90.00°, γ = 90.00°
Space group Pm-3m (No. 221)
Inequivalent atoms, fractional coordinates:
Cu1 0.000 0.000 0.000
Tc1 0.000 0.000 0.500
P1 0.500 0.500 0.500

Computed properties:
mass density = 7289 kg/m³

---

Ordering by calculated energy gives the sequence #a, #b, with the first entry being the most stable.